Record 1
! Te7O6F30 (PBEsol, optimized geometry); values from VASP
! **ΔE_f (raw)**: -1.82 eV/atom
! **Space-group type**: P-1 (2)
&SYSTEM
  ibrav = 0, nat = 43, ntyp = 3
/
ATOMIC_SPECIES
Te 127.60 Te.upf
O 16.00 O.upf
F 19.00 F.upf
CELL_PARAMETERS angstrom
8.896 -0.002 0.002
-1.568 9.004 0.043
-1.620 -4.247 7.954
ATOMIC_POSITIONS angstrom
Te 0.000 0.000 0.000
Te 1.452 3.199 0.686
Te 4.257 1.556 7.314
Te 6.108 1.154 1.924
Te -0.399 3.601 6.076
Te 1.405 -0.989 3.137
Te 4.304 5.744 4.863
O 0.119 1.929 0.130
O 5.591 2.826 7.870
O 7.479 -0.052 1.320
O -1.770 4.807 6.680
O 1.348 -0.227 1.371
O 4.361 4.983 6.629
F 0.068 4.340 1.147
F 5.641 0.415 6.853
F 1.471 2.538 2.421
F 4.238 2.218 5.579
F 2.861 2.079 0.228
F 2.848 2.676 7.772
F -0.159 -0.329 6.932
F 5.868 5.084 1.068
F 2.676 4.489 1.207
F 3.033 0.266 6.793
F 6.174 0.294 3.563
F -0.465 4.461 4.437
F 7.355 2.392 2.523
F -1.646 2.363 5.477
F 6.013 2.038 0.293
F -0.304 2.717 7.707
F 4.825 -0.058 1.361
F 0.885 4.814 6.639
F 4.760 2.249 2.566
F 0.949 2.506 5.434
F 2.776 0.197 3.522
F 2.933 4.558 4.478
F 0.163 0.229 3.783
F 5.546 4.526 4.217
F -1.525 6.807 2.815
F 7.234 -2.052 5.185
F 1.092 6.780 2.601
F 4.617 -2.025 5.399
F 1.550 -1.686 4.846
F 4.159 6.442 3.154

Record 2
! LuFeC2 (PBEsol, optimized geometry); values from VASP
! **ΔE_f**: -35.92 kJ/mol of atoms
! **Space-group type**: Amm2 (38)
&SYSTEM
  ibrav = 0, nat = 4, ntyp = 3
/
ATOMIC_SPECIES
C 12.01 C.upf
Lu 174.97 Lu.upf
Fe 55.84 Fe.upf
CELL_PARAMETERS angstrom
3.668 0.005 0.000
-0.940 3.545 0.000
0.000 0.000 3.409
ATOMIC_POSITIONS angstrom
C 0.866 3.046 1.705
C 0.008 1.929 1.705
Lu -0.919 3.529 0.000
Fe 1.884 1.376 1.705

Record 3
! LaPSe4 (PBEsol, optimized geometry); values from VASP
! **ΔE_f (raw)**: -0.14 eV/atom
! **Space-group type**: F-43m (216)
&SYSTEM
  ibrav = 0, nat = 6, ntyp = 3
/
ATOMIC_SPECIES
La 138.91 La.upf
P 30.97 P.upf
Se 78.96 Se.upf
CELL_PARAMETERS angstrom
-1.739 -4.403 3.055
-2.590 -4.326 -2.514
2.621 -4.966 -0.469
ATOMIC_POSITIONS angstrom
La -1.281 -10.271 0.055
P 0.000 0.000 0.000
Se -0.640 -5.126 0.027
Se 0.678 -7.622 -0.208
Se -1.514 -7.340 1.563
Se -1.941 -7.301 -1.236

Record 4
! SiTcAg2 (PBEsol, optimized geometry); values from VASP
! **ΔE_f (raw)**: 0.44 eV/atom
! **Space-group type**: P4/mmm (123)
&SYSTEM
  ibrav = 0, nat = 4, ntyp = 3
/
ATOMIC_SPECIES
Ag 107.87 Ag.upf
Si 28.09 Si.upf
Tc 98.00 Tc.upf
CELL_PARAMETERS angstrom
-0.288 -0.649 2.548
1.465 -2.168 -0.387
7.285 4.570 1.990
ATOMIC_POSITIONS angstrom
Ag 5.458 3.424 1.491
Ag 1.827 1.146 0.499
Si 0.588 -1.409 1.080
Tc 4.231 0.876 2.075

Record 5
! MgMnCr (PBEsol, optimized geometry); values from VASP
! **ΔE_f**: 87.09 kJ/mol of atoms
! **Space-group type**: F-43m (216)
&SYSTEM
  ibrav = 0, nat = 3, ntyp = 3
/
ATOMIC_SPECIES
Cr 52.00 Cr.upf
Mg 24.30 Mg.upf
Mn 54.94 Mn.upf
CELL_PARAMETERS angstrom
-2.267 -1.942 2.938
-1.371 -3.903 -0.653
1.654 -3.188 2.154
ATOMIC_POSITIONS angstrom
Cr 0.000 0.000 0.000
Mg -0.991 -4.517 2.220
Mn -0.496 -2.258 1.110

Record 6
! LiNiI2 (PBEsol, optimized geometry); values from VASP
! **ΔE_f (raw)**: -0.45 eV/atom
! **ΔE to the lowest computed polymorph**: 0.0 kJ/mol of atoms
! **Space-group type**: I-42d (122)
&SYSTEM
  ibrav = 0, nat = 8, ntyp = 3
/
ATOMIC_SPECIES
I 126.90 I.upf
Ni 58.69 Ni.upf
Li 6.94 Li.upf
CELL_PARAMETERS angstrom
6.081 0.000 0.000
0.000 6.081 0.000
-3.040 -3.040 5.978
ATOMIC_POSITIONS angstrom
I 4.738 1.520 1.495
I 1.343 4.560 1.495
I 1.520 1.697 4.484
I -1.520 -1.697 4.484
Ni 0.000 3.040 2.989
Ni 0.000 0.000 0.000
Li 3.040 0.000 2.989
Li 3.040 3.040 0.000

Record 7
! ReTe4Cl (PBEsol, optimized geometry); values from VASP
! **ΔE_f (raw)**: 1.13 eV/atom
! **Space-group type**: F-43m (216)
&SYSTEM
  ibrav = 0, nat = 6, ntyp = 3
/
ATOMIC_SPECIES
Re 186.21 Re.upf
Te 127.60 Te.upf
Cl 35.45 Cl.upf
CELL_PARAMETERS angstrom
6.122 0.000 0.000
3.061 5.302 0.000
3.061 1.767 4.999
ATOMIC_POSITIONS angstrom
Re 0.000 0.000 0.000
Te 4.583 2.646 1.871
Te 6.122 3.535 4.385
Te 7.661 2.646 1.871
Te 6.122 5.312 1.871
Cl 9.183 5.302 3.749

Record 8
! YZn3Au (PBEsol, optimized geometry); values from VASP
! **ΔE_f**: 0.60 kJ/mol of atoms
! **Space-group type**: Pm-3m (221)
&SYSTEM
  ibrav = 0, nat = 5, ntyp = 3
/
ATOMIC_SPECIES
Y 88.91 Y.upf
Zn 65.41 Zn.upf
Au 196.97 Au.upf
CELL_PARAMETERS angstrom
-4.287 1.351 -1.517
-1.751 -4.253 1.160
-1.030 1.609 4.342
ATOMIC_POSITIONS angstrom
Y -3.534 -0.647 1.993
Zn -0.876 -2.127 0.580
Zn -0.515 0.804 2.171
Zn -2.143 0.676 -0.759
Au 0.000 0.000 0.000